## YC (PBE)

Data for crystalline YC at its relaxed geometry.

a = 8.3270 Å, b = 8.3270 Å, c = 5.0079 Å
α = 90.00°, β = 90.00°, γ = 90.00°
Last column: nearest neighbours and their distance in Å.
Fractional positions:
C: 0.8429 0.3638 0.5000  5 Y 2.41-2.54
C: 0.8638 0.6571 0.0000  5 Y 2.41-2.54
C: 0.1362 0.3429 0.0000  5 Y 2.41-2.54
C: 0.6571 0.1362 0.0000  5 Y 2.41-2.54
C: 0.1571 0.6362 0.5000  5 Y 2.41-2.54
C: 0.3429 0.8638 0.0000  5 Y 2.41-2.54
C: 0.6362 0.8429 0.5000  5 Y 2.41-2.54
C: 0.3638 0.1571 0.5000  5 Y 2.41-2.54
Y: 0.3699 0.1675 0.0000  5 C 2.41-2.54
Y: 0.3325 0.8699 0.5000  5 C 2.41-2.54
Y: 0.1301 0.3325 0.5000  5 C 2.41-2.54
Y: 0.8325 0.3699 0.0000  5 C 2.41-2.54
Y: 0.1675 0.6301 0.0000  5 C 2.41-2.54
Y: 0.8699 0.6675 0.5000  5 C 2.41-2.54
Y: 0.6675 0.1301 0.5000  5 C 2.41-2.54
Y: 0.6301 0.8325 0.0000  5 C 2.41-2.54

Calculated formation energy ... 8.3 kcal/mol of atoms
Magnetization ... 0.0 Bohr magnetons per cell
Mass density ... 3.86 g cm⁻³
Offset from the most stable computed form ... 1.145 eV/f.u.